Record 1
## TiMnPOsS (PBE)

Data for a relaxed TiMnPOsS crystal.

Values from the calculation:
Formation energy (no corrections) = -0.34 eV/atom

```
data_TiMnPOsS
_cell_length_a 8.818
_cell_length_b 3.424
_cell_length_c 6.169
_cell_angle_alpha 90.00
_cell_angle_beta 108.78
_cell_angle_gamma 90.00
_space_group_name_H-M_alt 'C 1 m 1'
_space_group_IT_number 8
loop_
_space_group_symop_operation_xyz
'x,y,z'
'x,-y,z'
'x+1/2,y+1/2,z'
'x+1/2,-y+1/2,z'
loop_
_atom_site_label
_atom_site_type_symbol
_atom_site_fract_x
_atom_site_fract_y
_atom_site_fract_z
_atom_site_occupancy
Ti1 Ti 0.000 0.000 0.000 1
Mn1 Mn 0.003 0.500 0.627 1
P1 P 0.218 0.500 0.009 1
Os1 Os 0.256 0.000 0.783 1
S1 S 0.067 0.000 0.413 1
```



Record 2
## GaSe2SBr (PBE)

Data for a relaxed GaSe2SBr crystal.

Values from the calculation:
Formation energy (no corrections) = 0.29 eV/atom

```
data_GaSe2SBr
_cell_length_a 4.936
_cell_length_b 4.936
_cell_length_c 5.260
_cell_angle_alpha 90.00
_cell_angle_beta 90.00
_cell_angle_gamma 90.00
_space_group_name_H-M_alt 'P 4/m m m'
_space_group_IT_number 123
_space_group_name_Hall '-P 4 2'
loop_
_atom_site_label
_atom_site_type_symbol
_atom_site_fract_x
_atom_site_fract_y
_atom_site_fract_z
_atom_site_occupancy
Ga1 Ga 0.000 0.000 0.000 1
Se1 Se 0.000 0.500 0.500 1
S1 S 0.500 0.500 0.500 1
Br1 Br 0.500 0.500 0.000 1
```



Record 3
## SnIrSe3 (PBE)

Data for a relaxed SnIrSe3 crystal.

Values from the calculation:
Formation energy (no corrections) = 0.29 eV/atom

```
data_SnIrSe3
_cell_length_a 4.955
_cell_length_b 4.955
_cell_length_c 4.955
_cell_angle_alpha 90.00
_cell_angle_beta 90.00
_cell_angle_gamma 90.00
_space_group_name_H-M_alt 'P m -3 m'
_space_group_IT_number 221
_space_group_name_Hall '-P 4 2 3'
loop_
_atom_site_label
_atom_site_type_symbol
_atom_site_fract_x
_atom_site_fract_y
_atom_site_fract_z
_atom_site_occupancy
Sn1 Sn 0.000 0.000 0.000 1
Ir1 Ir 0.500 0.500 0.500 1
Se1 Se 0.000 0.500 0.500 1
```